## KFePt2 (GGA-PBEsol)

Data for a relaxed structure of KFePt2.

Lattice parameters (Å, degrees): 2.7750 2.7750 9.2353 90.00 90.00 90.00
Space group P4mm (No. 99)
Asymmetric unit:
K 0.0000 0.0000 0.0000
Fe 0.5000 0.5000 0.6725
Pt 0.0000 0.0000 0.4927
Pt 0.5000 0.5000 0.2736

Results
Final energy: -5.615 eV/atom
DOS at the Fermi energy: 0.903 states/eV per atom
Size of the total moment: 3.25 μB/cell
Formation energy from the elements: 390 meV per atom
ΔE to the lowest computed polymorph: 0.132 eV/atom

***

## KBaNa2Ti3FeSi4O18 (GGA-PBEsol)

Data for a relaxed structure of KBaNa2Ti3FeSi4O18.

Lattice parameters (Å, degrees): 5.3542 7.0734 10.7029 70.88 83.61 89.96
Space group P1 (No. 1)
Asymmetric unit:
K 0.0000 0.0000 0.0000
Ba 0.5220 0.5647 0.8780
Na 0.2636 0.2904 0.4335
Na 0.7627 0.5497 0.4349
Ti 0.2634 0.7970 0.4350
Ti 0.5610 0.1372 0.7218
Ti 0.9606 0.4180 0.1510
Fe 0.7607 0.0114 0.4368
Si 0.0545 0.8691 0.7167
Si 0.0663 0.4364 0.7080
Si 0.4541 0.7076 0.1619
Si 0.4721 0.1428 0.1537
O 0.0457 0.6186 0.7759
O 0.0683 0.9514 0.5549
O 0.1084 0.5359 0.5472
O 0.2162 0.6357 0.1040
O 0.2358 0.2727 0.0940
O 0.2948 0.9292 0.7776
O 0.3050 0.3107 0.7667
O 0.4155 0.6469 0.3235
O 0.4585 0.0647 0.3164
O 0.4768 0.9538 0.0954
O 0.5379 0.7915 0.5325
O 0.6075 0.1936 0.5513
O 0.7149 0.6276 0.1077
O 0.7338 0.2713 0.0836
O 0.7902 0.9241 0.7860
O 0.7983 0.3142 0.7608
O 0.9123 0.3060 0.3219
O 0.9846 0.8844 0.3443

Results
Final energy: -7.924 eV/atom
Size of the total moment: 5.00 μB/cell
Formation energy without anion corrections: -61.7 kcal/mol of atoms

***

## InP (GGA-PBEsol)

Data for a relaxed structure of InP.

Lattice parameters (Å, degrees): 4.1410 4.1410 6.7983 90.00 90.00 120.00
Space group P6_3mc (No. 186)
Asymmetric unit:
In 0.3333 0.6667 0.0000
P 0.3333 0.6667 0.6256

Results
Final energy: -4.573 eV/atom
Size of the total moment: 0.00 μB/cell
Formation energy from the elements: -186 meV per atom

***

## Li2PPb (GGA-PBEsol)

Data for a relaxed structure of Li2PPb.

Lattice parameters (Å, degrees): 3.1965 3.1965 25.9987 90.00 90.00 120.00
Space group R-3m (No. 166, hexagonal axes)
Asymmetric unit:
Li 0.0000 0.0000 0.2335
P 0.0000 0.0000 0.5000
Pb 0.0000 0.0000 0.0000

Results
Final energy: -3.596 eV/atom
DOS at the Fermi energy: 0.398 states/eV per atom
Size of the total moment: 0.00 μB/cell
Formation energy from the elements: -165 meV per atom
ΔE to the lowest computed polymorph: 0.161 eV/atom

***

## TaCd2PbO (GGA-PBEsol)

Data for a relaxed structure of TaCd2PbO.

Lattice parameters (Å, degrees): 4.3673 4.3673 5.0502 90.00 90.00 90.00
Space group P4/mmm (No. 123)
Asymmetric unit:
Ta 0.0000 0.0000 0.0000
Cd 0.0000 0.5000 0.5000
Pb 0.5000 0.5000 0.0000
O 0.5000 0.5000 0.5000

Results
Final energy: -4.455 eV/atom
DOS at the Fermi energy: 0.713 states/eV per atom
Size of the total moment: 0.83 μB/cell
Formation energy without anion corrections: 8.8 kcal/mol of atoms

***

## InCu2Pb (GGA-PBEsol)

Data for a relaxed structure of InCu2Pb.

Lattice parameters (Å, degrees): 3.1279 3.4230 6.8977 90.00 90.00 90.00
Space group Pmmm (No. 47)
Asymmetric unit:
In 0.0000 0.0000 0.0000
Cu 0.5000 0.5000 0.2101
Pb 0.0000 0.0000 0.5000

Results
Final energy: -3.677 eV/atom
DOS at the Fermi energy: 0.380 states/eV per atom
Size of the total moment: 0.00 μB/cell
Formation energy from the elements: 235 meV per atom